Record 1
# Sr2MgSe | Alexandria via LeMat-Bulk | PBE-GGA | optimized geometry
data_Sr2MgSe
_symmetry_space_group_name_H-M 'C m m 2'
_symmetry_Int_Tables_number 35
_cell_length_a 5.411
_cell_length_b 5.420
_cell_length_c 9.358
_cell_angle_alpha 90.00
_cell_angle_beta 90.00
_cell_angle_gamma 90.00
loop_
_symmetry_equiv_pos_as_xyz
'x,y,z'
'-x,-y,z'
'-x,y,z'
'x,-y,z'
'x+1/2,y+1/2,z'
'-x+1/2,-y+1/2,z'
'-x+1/2,y+1/2,z'
'x+1/2,-y+1/2,z'
loop_
_atom_site_label
_atom_site_fract_x
_atom_site_fract_y
_atom_site_fract_z
Sr1 0.000 0.000 0.000
Sr2 0.000 0.500 0.374
Mg1 0.000 0.500 0.734
Se1 0.000 0.000 0.564
# Offset from the most stable computed form in meV/atom: 249.9
# ΔE_f (raw) in eV per atom: -0.6414

***

Record 2
# RbEu2Hg | Alexandria via LeMat-Bulk | PBE-GGA | optimized geometry
data_RbEu2Hg
_symmetry_space_group_name_H-M 'P 4/m m m'
_symmetry_Int_Tables_number 123
_symmetry_space_group_name_Hall '-P 4 2'
_cell_length_a 4.012
_cell_length_b 4.012
_cell_length_c 10.916
_cell_angle_alpha 90.00
_cell_angle_beta 90.00
_cell_angle_gamma 90.00
loop_
_atom_site_label
_atom_site_fract_x
_atom_site_fract_y
_atom_site_fract_z
Rb1 0.000 0.000 0.000
Eu1 0.500 0.500 0.335
Hg1 0.000 0.000 0.500
# ΔE_f in eV per atom: -0.17

***

Record-wise total magnetic moment values, in Bohr magnetons per cell: 0.0 14.7